No. 1
Entry from the Alexandria database: a relaxed structure of SnBrO2 (PBE).

Cell: 8.939 8.939 8.939 Å, 20.41 20.41 20.41°
Fractional positions:
Sn 0.000 0.000 0.000
Br 0.500 0.500 0.500
O 0.373 0.373 0.373
O 0.627 0.627 0.627

Output
Total energy: -4.857 eV/atom
Energy relative to the elements, uncorrected: -0.96 eV per atom
SG: R-3m, No. 166
Excess energy over the best structure of this formula in the dataset: 0.0 kJ/mol of atoms
Total magnetic moment: 0.0 μB/f.u.

***

No. 2
Entry from the Alexandria database: a relaxed structure of Sn2Br2O (PBE).

Cell: 9.572 9.572 8.301 Å, 90.00 90.00 156.49°
Fractional positions:
Sn 0.075 0.925 0.500
Sn 0.349 0.651 0.338
Sn 0.651 0.349 0.838
Sn 0.925 0.075 0.000
Br 0.300 0.700 0.982
Br 0.462 0.538 0.605
Br 0.538 0.462 0.105
Br 0.700 0.300 0.482
O 0.107 0.893 0.744
O 0.893 0.107 0.244

Output
Total energy: -4.167 eV/atom
Energy relative to the elements, uncorrected: -0.91 eV per atom
SG: Cmc2_1, No. 36
Excess energy over the best structure of this formula in the dataset: 7.4 kJ/mol of atoms
Total magnetic moment: 0.0 μB/f.u.

***

No. 3
Entry from the Alexandria database: a relaxed structure of SnBrO2 (PBE).

Cell: 6.122 6.122 6.122 Å, 119.36 119.36 91.12°
Fractional positions:
Sn 0.000 0.000 0.000
Sn 0.750 0.250 0.500
Br 0.250 0.750 0.500
Br 0.500 0.500 0.000
O 0.375 0.216 0.341
O 0.784 0.125 0.159
O 0.875 0.034 0.659
O 0.966 0.625 0.841

Output
Total energy: -4.578 eV/atom
Energy relative to the elements, uncorrected: -0.68 eV per atom
SG: I-42d, No. 122
Excess energy over the best structure of this formula in the dataset: 27.0 kJ/mol of atoms
Total magnetic moment: 1.0 μB/f.u.

***

No. 4
Entry from the Alexandria database: a relaxed structure of SnBr2O (PBE).

Cell: 9.060 9.060 9.060 Å, 23.07 23.07 23.07°
Fractional positions:
Sn 0.000 0.000 0.000
Br 0.104 0.104 0.104
Br 0.896 0.896 0.896
O 0.500 0.500 0.500

Output
Total energy: -2.563 eV/atom
Energy relative to the elements, uncorrected: 0.51 eV per atom
SG: R-3m, No. 166
Excess energy over the best structure of this formula in the dataset: 28.5 kJ/mol of atoms
Total magnetic moment: 2.6 μB/f.u.

***

No. 5
Entry from the Alexandria database: a relaxed structure of SnBrO3 (PBE).

Cell: 4.082 4.082 4.082 Å, 90.00 90.00 90.00°
Fractional positions:
Sn 0.000 0.000 0.000
Br 0.500 0.500 0.500
O 0.000 0.500 0.500
O 0.500 0.000 0.500
O 0.500 0.500 0.000

Output
Total energy: -3.998 eV/atom
Energy relative to the elements, uncorrected: 0.11 eV per atom
SG: Pm-3m, No. 221
Total magnetic moment: 0.0 μB/f.u.

***

No. 6
Entry from the Alexandria database: a relaxed structure of SnBrO3 (PBE).

Cell: 4.065 4.065 4.065 Å, 90.00 90.00 90.00°
Fractional positions:
Sn 0.000 0.000 0.000
Br 0.500 0.500 0.500
O 0.000 0.000 0.500
O 0.000 0.500 0.000
O 0.500 0.000 0.000

Output
Total energy: -4.353 eV/atom
Energy relative to the elements, uncorrected: -0.24 eV per atom
SG: Pm-3m, No. 221
Total magnetic moment: 0.0 μB/f.u.

***

No. 7
Entry from the Alexandria database: a relaxed structure of SnBr2O (PBE).

Cell: 4.972 4.972 4.972 Å, 60.00 60.00 60.00°
Fractional positions:
Sn 0.000 0.000 0.000
Br 0.250 0.250 0.250
Br 0.750 0.750 0.750
O 0.500 0.500 0.500

Output
Total energy: -2.764 eV/atom
Energy relative to the elements, uncorrected: 0.31 eV per atom
SG: Fm-3m, No. 225
Excess energy over the best structure of this formula in the dataset: 9.1 kJ/mol of atoms
Total magnetic moment: 0.0 μB/f.u.

***

No. 8
Entry from the Alexandria database: a relaxed structure of SnBrO2 (PBE).

Cell: 4.352 4.352 4.352 Å, 60.00 60.00 60.00°
Fractional positions:
Sn 0.000 0.000 0.000
Br 0.500 0.500 0.500
O 0.250 0.250 0.250
O 0.750 0.750 0.750

Output
Total energy: -3.581 eV/atom
Energy relative to the elements, uncorrected: 0.32 eV per atom
SG: Fm-3m, No. 225
Excess energy over the best structure of this formula in the dataset: 123.1 kJ/mol of atoms
Total magnetic moment: 1.0 μB/f.u.

***

No. 9
Entry from the Alexandria database: a relaxed structure of SnBr2O (PBE).

Cell: 9.241 9.241 9.241 Å, 146.19 146.19 48.56°
Fractional positions:
Sn 0.000 0.000 0.000
Sn 0.750 0.250 0.500
Br 0.145 0.625 0.020
Br 0.375 0.395 0.520
Br 0.605 0.125 0.980
Br 0.875 0.855 0.480
O 0.250 0.750 0.500
O 0.500 0.500 0.000

Output
Total energy: -2.859 eV/atom
Energy relative to the elements, uncorrected: 0.22 eV per atom
SG: I-42d, No. 122
Excess energy over the best structure of this formula in the dataset: 0.0 kJ/mol of atoms
Total magnetic moment: 2.0 μB/f.u.

***

No. 10
Entry from the Alexandria database: a relaxed structure of Sn2BrO (PBE).

Cell: 8.194 8.194 8.194 Å, 139.60 139.60 58.46°
Fractional positions:
Sn 0.375 0.229 0.354
Sn 0.771 0.125 0.146
Sn 0.875 0.021 0.646
Sn 0.979 0.625 0.854
Br 0.250 0.750 0.500
Br 0.500 0.500 0.000
O 0.000 0.000 0.000
O 0.750 0.250 0.500

Output
Total energy: -4.155 eV/atom
Energy relative to the elements, uncorrected: -0.50 eV per atom
SG: I-42d, No. 122
Excess energy over the best structure of this formula in the dataset: 0.0 kJ/mol of atoms
Total magnetic moment: 0.0 μB/f.u.

***

No. 11
Entry from the Alexandria database: a relaxed structure of SnBrO2 (PBE).

Cell: 7.560 7.560 7.560 Å, 24.76 24.76 24.76°
Fractional positions:
Sn 0.000 0.000 0.000
Br 0.500 0.500 0.500
O 0.092 0.092 0.092
O 0.908 0.908 0.908

Output
Total energy: -3.479 eV/atom
Energy relative to the elements, uncorrected: 0.42 eV per atom
SG: R-3m, No. 166
Excess energy over the best structure of this formula in the dataset: 133.0 kJ/mol of atoms
Total magnetic moment: 0.0 μB/f.u.

***

No. 12
Entry from the Alexandria database: a relaxed structure of SnBr3O (PBE).

Cell: 4.875 4.875 4.875 Å, 90.00 90.00 90.00°
Fractional positions:
Sn 0.000 0.000 0.000
Br 0.000 0.500 0.500
Br 0.500 0.000 0.500
Br 0.500 0.500 0.000
O 0.500 0.500 0.500

Output
Total energy: -2.626 eV/atom
Energy relative to the elements, uncorrected: 0.17 eV per atom
SG: Pm-3m, No. 221
Excess energy over the best structure of this formula in the dataset: 0.0 kJ/mol of atoms
Total magnetic moment: 0.0 μB/f.u.

***

No. 13
Entry from the Alexandria database: a relaxed structure of Sn2BrO (PBE).

Cell: 4.980 4.980 4.980 Å, 60.00 60.00 60.00°
Fractional positions:
Sn 0.250 0.250 0.250
Sn 0.750 0.750 0.750
Br 0.000 0.000 0.000
O 0.500 0.500 0.500

Output
Total energy: -3.670 eV/atom
Energy relative to the elements, uncorrected: -0.01 eV per atom
SG: Fm-3m, No. 225
Excess energy over the best structure of this formula in the dataset: 46.9 kJ/mol of atoms
Total magnetic moment: 0.0 μB/f.u.

***

No. 14
Entry from the Alexandria database: a relaxed structure of Sn2Br2O (PBE).

Cell: 7.572 7.572 7.572 Å, 145.24 145.24 49.98°
Fractional positions:
Sn 0.110 0.110 0.000
Sn 0.890 0.890 0.000
Br 0.250 0.750 0.500
Br 0.750 0.250 0.500
O 0.500 0.500 0.000

Output
Total energy: -3.099 eV/atom
Energy relative to the elements, uncorrected: 0.16 eV per atom
SG: I4/mmm, No. 139
Excess energy over the best structure of this formula in the dataset: 110.5 kJ/mol of atoms
Total magnetic moment: 0.0 μB/f.u.

***

No. 15
Entry from the Alexandria database: a relaxed structure of Sn2Br2O (PBE).

Cell: 7.078 7.078 9.373 Å, 120.75 120.75 51.39°
Fractional positions:
Sn 0.063 0.063 0.382
Sn 0.303 0.303 0.872
Sn 0.697 0.697 0.128
Sn 0.937 0.937 0.618
Br 0.187 0.187 0.075
Br 0.398 0.398 0.634
Br 0.602 0.602 0.366
Br 0.813 0.813 0.925
O 0.118 0.118 0.647
O 0.882 0.882 0.353

Output
Total energy: -4.244 eV/atom
Energy relative to the elements, uncorrected: -0.98 eV per atom
SG: C2/m, No. 12
Excess energy over the best structure of this formula in the dataset: 0.0 kJ/mol of atoms
Total magnetic moment: 0.0 μB/f.u.

***

No. 16
Entry from the Alexandria database: a relaxed structure of SnBr3O (PBE).

Cell: 5.461 5.461 5.461 Å, 90.00 90.00 90.00°
Fractional positions:
Sn 0.000 0.000 0.000
Br 0.000 0.000 0.500
Br 0.000 0.500 0.000
Br 0.500 0.000 0.000
O 0.500 0.500 0.500

Output
Total energy: -2.342 eV/atom
Energy relative to the elements, uncorrected: 0.45 eV per atom
SG: Pm-3m, No. 221
Excess energy over the best structure of this formula in the dataset: 27.4 kJ/mol of atoms
Total magnetic moment: 0.0 μB/f.u.

***

No. 17
Entry from the Alexandria database: a relaxed structure of Sr2SnBr2O2 (PBE).

Cell: 8.771 8.771 8.771 Å, 149.99 149.99 42.95°
Fractional positions:
Sr 0.105 0.105 0.000
Sr 0.895 0.895 0.000
Sn 0.500 0.500 0.000
Br 0.308 0.308 0.000
Br 0.692 0.692 0.000
O 0.000 0.500 0.500
O 0.500 0.000 0.500

Output
Total energy: -4.766 eV/atom
Energy relative to the elements, uncorrected: -1.82 eV per atom
SG: I4/mmm, No. 139
Total magnetic moment: 0.0 μB/f.u.

***

No. 18
Entry from the Alexandria database: a relaxed structure of Sr3Br2O2 (PBE).

Cell: 8.955 8.955 10.659 Å, 95.67 95.67 27.27°
Fractional positions:
Sr 0.043 0.043 0.246
Sr 0.192 0.192 0.685
Sr 0.405 0.405 0.060
Sr 0.595 0.595 0.940
Sr 0.808 0.808 0.315
Sr 0.957 0.957 0.754
Br 0.219 0.219 0.152
Br 0.361 0.361 0.525
Br 0.639 0.639 0.475
Br 0.781 0.781 0.848
O 0.096 0.096 0.809
O 0.460 0.460 0.860
O 0.540 0.540 0.140
O 0.904 0.904 0.191

Output
Total energy: -5.058 eV/atom
Energy relative to the elements, uncorrected: -2.44 eV per atom
SG: C2/m, No. 12
Excess energy over the best structure of this formula in the dataset: 2.2 kJ/mol of atoms
Total magnetic moment: 0.0 μB/f.u.

***

No. 19
Entry from the Alexandria database: a relaxed structure of Sr4Br6O (PBE).

Cell: 9.991 9.991 7.675 Å, 90.00 90.00 120.00°
Fractional positions:
Sr 0.201 0.402 0.000
Sr 0.201 0.799 0.000
Sr 0.333 0.667 0.588
Sr 0.402 0.201 0.500
Sr 0.598 0.799 0.000
Sr 0.667 0.333 0.088
Sr 0.799 0.201 0.500
Sr 0.799 0.598 0.500
Br 0.070 0.535 0.296
Br 0.139 0.279 0.617
Br 0.139 0.861 0.617
Br 0.279 0.139 0.117
Br 0.465 0.535 0.296
Br 0.465 0.930 0.296
Br 0.535 0.070 0.796
Br 0.535 0.465 0.796
Br 0.721 0.861 0.617
Br 0.861 0.139 0.117
Br 0.861 0.721 0.117
Br 0.930 0.465 0.796
O 0.333 0.667 0.900
O 0.667 0.333 0.400

Output
Total energy: -4.253 eV/atom
Energy relative to the elements, uncorrected: -2.28 eV per atom
SG: P6_3mc, No. 186
Excess energy over the best structure of this formula in the dataset: 0.0 kJ/mol of atoms
Total magnetic moment: 0.1 μB/f.u.

***

No. 20
Entry from the Alexandria database: a relaxed structure of SrBrO3 (PBE).

Cell: 4.084 4.084 4.084 Å, 90.00 90.00 90.00°
Fractional positions:
Sr 0.000 0.000 0.000
Br 0.500 0.500 0.500
O 0.000 0.500 0.500
O 0.500 0.000 0.500
O 0.500 0.500 0.000

Output
Total energy: -4.495 eV/atom
Energy relative to the elements, uncorrected: -0.85 eV per atom
SG: Pm-3m, No. 221
Total magnetic moment: 0.0 μB/f.u.

***

No. 21
Entry from the Alexandria database: a relaxed structure of SrBrO5 (PBE).

Cell: 5.922 7.198 8.433 Å, 112.90 91.40 113.35°
Fractional positions:
Sr 0.106 0.217 0.331
Sr 0.894 0.783 0.669
Br 0.333 0.654 0.687
Br 0.667 0.346 0.313
O 0.107 0.170 0.966
O 0.121 0.015 0.514
O 0.228 0.313 0.909
O 0.281 0.640 0.290
O 0.310 0.730 0.188
O 0.690 0.270 0.812
O 0.719 0.360 0.710
O 0.772 0.687 0.091
O 0.879 0.985 0.486
O 0.893 0.830 0.034

Output
Total energy: -4.802 eV/atom
Energy relative to the elements, uncorrected: -0.78 eV per atom
SG: P-1, No. 2
Excess energy over the best structure of this formula in the dataset: 1.0 kJ/mol of atoms
Total magnetic moment: 4.0 μB/f.u.

***

No. 22
Entry from the Alexandria database: a relaxed structure of SrBrO3 (PBE).

Cell: 4.571 4.571 4.571 Å, 90.00 90.00 90.00°
Fractional positions:
Sr 0.000 0.000 0.000
Br 0.500 0.500 0.500
O 0.000 0.000 0.500
O 0.000 0.500 0.000
O 0.500 0.000 0.000

Output
Total energy: -3.332 eV/atom
Energy relative to the elements, uncorrected: 0.31 eV per atom
SG: Pm-3m, No. 221
Total magnetic moment: 0.2 μB/f.u.

***

No. 23
Entry from the Alexandria database: a relaxed structure of SrBrO3 (PBE).

Cell: 4.029 6.554 6.691 Å, 88.05 73.67 85.62°
Fractional positions:
Sr 0.000 0.000 0.000
Sr 0.090 0.700 0.522
Br 0.526 0.509 0.961
Br 0.606 0.139 0.533
O 0.002 0.103 0.604
O 0.150 0.609 0.139
O 0.436 0.246 0.036
O 0.480 0.475 0.702
O 0.623 0.787 0.860
O 0.655 0.910 0.377

Output
Total energy: -4.708 eV/atom
Energy relative to the elements, uncorrected: -1.06 eV per atom
SG: P1, No. 1
Total magnetic moment: 0.0 μB/f.u.

***

No. 24
Entry from the Alexandria database: a relaxed structure of Sr3Br2O2 (PBE).

Cell: 7.453 7.453 7.463 Å, 119.71 119.71 32.25°
Fractional positions:
Sr 0.000 0.000 0.000
Sr 0.223 0.223 0.784
Sr 0.777 0.777 0.216
Br 0.410 0.410 0.630
Br 0.590 0.590 0.370
O 0.180 0.180 0.054
O 0.820 0.820 0.946

Output
Total energy: -5.081 eV/atom
Energy relative to the elements, uncorrected: -2.47 eV per atom
SG: C2/m, No. 12
Excess energy over the best structure of this formula in the dataset: 0.0 kJ/mol of atoms
Total magnetic moment: 0.0 μB/f.u.

***

No. 25
Entry from the Alexandria database: a relaxed structure of Sr2BrO2 (PBE).

Cell: 7.815 7.815 3.505 Å, 90.00 90.00 90.00°
Fractional positions:
Sr 0.143 0.357 0.000
Sr 0.357 0.857 0.000
Sr 0.643 0.143 0.000
Sr 0.857 0.643 0.000
Br 0.000 0.000 0.000
Br 0.500 0.500 0.000
O 0.101 0.601 0.500
O 0.399 0.101 0.500
O 0.601 0.899 0.500
O 0.899 0.399 0.500

Output
Total energy: -4.915 eV/atom
Energy relative to the elements, uncorrected: -1.92 eV per atom
SG: P4/mbm, No. 127
Excess energy over the best structure of this formula in the dataset: 29.6 kJ/mol of atoms
Total magnetic moment: 1.0 μB/f.u.